# 1
# SrAlCu PBE optimized geometry
data_SrAlCu
_chemical_formula_sum 'Sr4 Al4 Cu4'
_space_group_name_H-M_alt 'F -4 3 m'
_space_group_IT_number 216
_space_group_name_Hall 'F -4 2 3'
_cell_length_a 6.779
_cell_length_b 6.779
_cell_length_c 6.779
_cell_angle_alpha 90.00
_cell_angle_beta 90.00
_cell_angle_gamma 90.00
loop_
_atom_site_label
_atom_site_fract_x
_atom_site_fract_y
_atom_site_fract_z
Sr1 0.000 0.000 0.000
Al1 0.000 0.000 0.500
Cu1 0.250 0.250 0.750
# DFT formation energy (eV/atom): 0.1051



# 2
# SrAlCu2Te PBE optimized geometry
data_SrAlCu2Te
_chemical_formula_sum 'Sr1 Al1 Cu2 Te1'
_space_group_name_H-M_alt 'P 4/m m m'
_space_group_IT_number 123
_space_group_name_Hall '-P 4 2'
_cell_length_a 5.246
_cell_length_b 5.246
_cell_length_c 6.041
_cell_angle_alpha 90.00
_cell_angle_beta 90.00
_cell_angle_gamma 90.00
loop_
_atom_site_label
_atom_site_fract_x
_atom_site_fract_y
_atom_site_fract_z
Sr1 0.000 0.000 0.000
Al1 0.000 0.000 0.500
Cu1 0.000 0.500 0.000
Te1 0.500 0.500 0.500
# Raw formation energy (meV per atom): 1182